Below is a geometry-optimized NbNiBOs structure, with properties calculated at the PBE level.

## Properties
Its crystal system is cubic.

Cell: 4.198 4.198 4.198 Å, 60.00 60.00 60.00°
Fractional positions:
B 0.000 0.000 0.000
Nb 0.250 0.250 0.250
Ni 0.750 0.750 0.750
Os 0.500 0.500 0.500


Below is a geometry-optimized ScNbNiB structure, with properties calculated at the PBE level.

## Properties
Its crystal system is cubic.

Cell: 4.270 4.270 4.270 Å, 60.00 60.00 60.00°
Fractional positions:
B 0.000 0.000 0.000
Nb 0.250 0.250 0.250
Ni 0.750 0.750 0.750
Sc 0.500 0.500 0.500


Below is a geometry-optimized ScNbNiB structure, with properties calculated at the PBE level.

## Properties
Its crystal system is cubic.

Cell: 4.293 4.293 4.293 Å, 60.00 60.00 60.00°
Fractional positions:
B 0.000 0.000 0.000
Nb 0.250 0.250 0.250
Ni 0.500 0.500 0.500
Sc 0.750 0.750 0.750


Below is a geometry-optimized TaNbNiB structure, with properties calculated at the PBE level.

## Properties
Its crystal system is cubic.

Cell: 4.281 4.281 4.281 Å, 60.00 60.00 60.00°
Fractional positions:
B 0.000 0.000 0.000
Nb 0.250 0.250 0.250
Ni 0.750 0.750 0.750
Ta 0.500 0.500 0.500


Below is a geometry-optimized TaNbNiB structure, with properties calculated at the PBE level.

## Properties
Its crystal system is cubic.

Cell: 4.236 4.236 4.236 Å, 60.00 60.00 60.00°
Fractional positions:
B 0.000 0.000 0.000
Nb 0.750 0.750 0.750
Ni 0.500 0.500 0.500
Ta 0.250 0.250 0.250


Below is a geometry-optimized NbTcNiB structure, with properties calculated at the PBE level.

## Properties
Its crystal system is cubic.

Cell: 4.163 4.163 4.163 Å, 60.00 60.00 60.00°
Fractional positions:
B 0.000 0.000 0.000
Nb 0.500 0.500 0.500
Ni 0.750 0.750 0.750
Tc 0.250 0.250 0.250


Below is a geometry-optimized NbTcNiB structure, with properties calculated at the PBE level.

## Properties
Its crystal system is cubic.

Cell: 4.129 4.129 4.129 Å, 60.00 60.00 60.00°
Fractional positions:
B 0.000 0.000 0.000
Nb 0.750 0.750 0.750
Ni 0.500 0.500 0.500
Tc 0.250 0.250 0.250


Below is a geometry-optimized NbNiBW structure, with properties calculated at the PBE level.

## Properties
Its crystal system is cubic.

Cell: 4.172 4.172 4.172 Å, 60.00 60.00 60.00°
Fractional positions:
B 0.000 0.000 0.000
Nb 0.750 0.750 0.750
Ni 0.500 0.500 0.500
W 0.250 0.250 0.250


Across the entries above, energy relative to the lowest polymorph listed for this composition takes the values 410 469 0 549 0 199 0 0 meV/atom, respectively.
Across the entries above, total magnetization takes the values 0.45 2.94 1.03 0.89 0.00 0.01 0.01 0.00 μB per formula unit, respectively.